First-principles (PBE) data for Pm2PrNdSb4 after structural relaxation, as listed in Alexandria.

Output
E_form (uncorrected) in eV per formula unit: -9.51

a b c (Å): 9.0339 9.0355 12.7767
angles (deg): 90.00 90.00 90.00
Space group Imma (No. 74)
Inequivalent atoms, fractional coordinates:
Pm 0.0000 0.0000 0.0000
Pm 0.2500 0.2500 0.2500
Pr 0.2500 0.2500 0.7500
Nd 0.0000 0.0000 0.5000
Sb 0.0000 0.0027 0.2494
Sb 0.2487 0.2500 0.0014